Entry 1:
Material: Na3Tl4Pd
Method: DFT, PBE-GGA
State: optimized geometry

Unit cell a=3.4850 b=3.4850 c=16.9954 alpha=90.00 beta=90.00 gamma=90.00
With the nearest neighbours (Å) after each atom.
Space group P4/mmm (No. 123)
One atom of each set of equivalent atoms:
Na  0.0000  0.0000  0.0000 (multiplicity 1)  8 Tl 3.40, 4 Na 3.48
Na  0.0000  0.0000  0.2736 (multiplicity 2)  8 Tl 3.30-3.38, 4 Na 3.48
Tl  0.5000  0.5000  0.1376 (multiplicity 2)  8 Na 3.38-3.40, 4 Tl 3.48
Tl  0.5000  0.5000  0.4029 (multiplicity 2)  4 Pd 2.97, 4 Na 3.30, 1 Tl 3.30
Pd  0.0000  0.0000  0.5000 (multiplicity 1)  8 Tl 2.97

Its total magnetization is 0.00 μB/f.u. The value obtained for the formation enthalpy at 0 K is -1.04 eV per formula unit. The electronic total energy is -19.7 eV for the cell shown.

=====

Entry 2:
Material: Na12Tl6Pd
Method: DFT, PBE-GGA
State: optimized geometry

Unit cell a=11.3889 b=11.3889 c=14.7111 alpha=90.00 beta=90.00 gamma=120.00
With the nearest neighbours (Å) after each atom.
Space group R-3 (No. 148, hexagonal axes)
One atom of each set of equivalent atoms:
Na  0.0391  0.1874  0.3194 (multiplicity 18)  3 Na 3.16-3.38, 4 Tl 3.25-3.44, 1 Pd 3.30
Na  0.0620  0.8415  0.9121 (multiplicity 18)  4 Tl 3.33-3.50, 5 Na 3.40-3.63
Tl  0.0463  0.4483  0.2099 (multiplicity 18)  1 Pd 3.02, 2 Tl 3.22, 4 Na 3.25-3.35
Pd  0.0000  0.0000  0.5000 (multiplicity 3)  6 Tl 3.02, 6 Na 3.30

Its total magnetization is 0.00 μB/f.u. The value obtained for the formation enthalpy at 0 K is -1.95 eV per formula unit. The electronic total energy is -111.5 eV for the cell shown.

=====

Entry 3:
Material: Na2Tl3Pd2
Method: DFT, PBE-GGA
State: optimized geometry

Unit cell a=10.8219 b=4.4444 c=7.6658 alpha=90.00 beta=112.50 gamma=90.00
With the nearest neighbours (Å) after each atom.
Space group C2/m (No. 12)
One atom of each set of equivalent atoms:
Na  0.1567  0.0000  0.3003 (multiplicity 4)  4 Pd 3.04-3.25, 2 Tl 3.36
Tl  0.0000  0.5000  0.5000 (multiplicity 2)  4 Pd 2.76
Tl  0.1321  0.5000  0.9603 (multiplicity 4)  3 Pd 2.88-2.94, 1 Tl 3.14
Pd  0.1262  0.0000  0.7056 (multiplicity 4)  5 Tl 2.76-2.94, 1 Na 3.04

Its total magnetization is 0.00 μB/f.u. The value obtained for the formation enthalpy at 0 K is -1.39 eV per formula unit. The electronic total energy is -43.0 eV for the cell shown.

=====

Entry 4:
Material: Na3Tl2Pd7
Method: DFT, PBE-GGA
State: optimized geometry

Unit cell a=5.6530 b=5.6530 c=26.2386 alpha=90.00 beta=90.00 gamma=120.00
With the nearest neighbours (Å) after each atom.
Space group R-3m (No. 166, hexagonal axes)
One atom of each set of equivalent atoms:
Na  0.0000  0.0000  0.0000 (multiplicity 3)  6 Tl 3.26, 12 Pd 3.61
Na  0.0000  0.0000  0.1402 (multiplicity 6)  12 Pd 3.17-3.34, 3 Na 3.55
Tl  0.0000  0.0000  0.3340 (multiplicity 6)  6 Pd 2.77-2.78
Pd  0.0000  0.0000  0.5000 (multiplicity 3)  6 Pd 2.70
Pd  0.0032  0.5016  0.9147 (multiplicity 18)  5 Pd 2.70-2.85, 2 Tl 2.77-2.78

Its total magnetization is 0.00 μB/f.u. The value obtained for the formation enthalpy at 0 K is -1.95 eV per formula unit. The electronic total energy is -141.0 eV for the cell shown.

=====

Entry 5:
Material: Na2Tl2Pd15
Method: DFT, PBE-GGA
State: optimized geometry

Unit cell a=9.1710 b=9.1710 c=13.8372 alpha=90.00 beta=90.00 gamma=120.00
With the nearest neighbours (Å) after each atom.
Space group R-3m (No. 166, hexagonal axes)
One atom of each set of equivalent atoms:
Na  0.0000  0.0000  0.0947 (multiplicity 6)  1 Na 2.62, 6 Pd 2.83-2.87
Tl  0.0000  0.0000  0.3533 (multiplicity 6)  12 Pd 3.07-3.31
Pd  0.0000  0.3331  0.0000 (multiplicity 18)  9 Pd 2.75-3.06, 2 Tl 3.07
Pd  0.0000  0.5000  0.5000 (multiplicity 9)  8 Pd 2.67-2.77, 2 Na 2.83
Pd  0.0051  0.5025  0.1655 (multiplicity 18)  8 Pd 2.61-2.78, 1 Na 2.87

Its total magnetization is 0.00 μB/f.u. The value obtained for the formation enthalpy at 0 K is -0.27 eV per formula unit. The electronic total energy is -256.6 eV for the cell shown.

=====

Entry 6:
Material: Na2Tl4Pd5
Method: DFT, PBE-GGA
State: optimized geometry

Unit cell a=5.7972 b=10.1248 c=17.5677 alpha=90.00 beta=90.00 gamma=90.00
With the nearest neighbours (Å) after each atom.
Space group Fmmm (No. 69)
One atom of each set of equivalent atoms:
Na  0.0000  0.0000  0.0945 (multiplicity 8)  1 Na 3.32, 6 Pd 3.34-3.36, 6 Tl 3.37-3.50
Tl  0.0000  0.1592  0.3705 (multiplicity 16)  5 Pd 2.72-2.85
Pd  0.0000  0.0000  0.5000 (multiplicity 4)  4 Tl 2.79, 4 Pd 2.92
Pd  0.2500  0.2500  0.0000 (multiplicity 8)  4 Tl 2.85, 4 Pd 2.90-2.92
Pd  0.2500  0.2500  0.2500 (multiplicity 8)  4 Tl 2.72, 2 Pd 2.90

Its total magnetization is 0.00 μB/f.u. The value obtained for the formation enthalpy at 0 K is -1.74 eV per formula unit. The electronic total energy is -159.2 eV for the cell shown.

=====

Entry 7:
Material: NaTlPd2
Method: DFT, PBE-GGA
State: optimized geometry

Unit cell a=3.2388 b=3.2388 c=26.5586 alpha=90.00 beta=90.00 gamma=120.00
With the nearest neighbours (Å) after each atom.
Space group R3m (No. 160, hexagonal axes)
One atom of each set of equivalent atoms:
Na  0.0000  0.0000  0.0000 (multiplicity 3)  6 Pd 2.98, 6 Na 3.24
Tl  0.0000  0.0000  0.1667 (multiplicity 3)  6 Pd 2.82
Pd  0.0000  0.0000  0.5794 (multiplicity 3)  3 Tl 2.82, 3 Na 2.98
Pd  0.0000  0.0000  0.7539 (multiplicity 3)  3 Tl 2.82, 3 Na 2.98

Its total magnetization is 0.00 μB/f.u. The value obtained for the formation enthalpy at 0 K is -0.03 eV per formula unit. The electronic total energy is -42.3 eV for the cell shown.

=====

Entry 8:
Material: NaTlPd2
Method: DFT, PBE-GGA
State: optimized geometry

Unit cell a=3.3696 b=3.3696 c=6.8157 alpha=90.00 beta=90.00 gamma=90.00
With the nearest neighbours (Å) after each atom.
Space group P4/mmm (No. 123)
One atom of each set of equivalent atoms:
Na  0.0000  0.0000  0.0000 (multiplicity 1)  8 Pd 3.02, 4 Na 3.37
Tl  0.0000  0.0000  0.5000 (multiplicity 1)  8 Pd 2.85
Pd  0.5000  0.5000  0.2712 (multiplicity 2)  4 Tl 2.85, 4 Na 3.02, 1 Pd 3.12

Its total magnetization is 0.00 μB/f.u. The value obtained for the formation enthalpy at 0 K is -0.41 eV per formula unit. The electronic total energy is -14.5 eV for the cell shown.

=====

Entry 9:
Material: NaTl3Pd2
Method: DFT, PBE-GGA
State: optimized geometry

Unit cell a=10.1289 b=9.3815 c=5.7843 alpha=90.00 beta=90.00 gamma=90.00
With the nearest neighbours (Å) after each atom.
Space group Cmcm (No. 63)
One atom of each set of equivalent atoms:
Na  0.0000  0.0756  0.2500 (multiplicity 4)  3 Tl 3.13-3.40, 4 Pd 3.15, 2 Na 3.22
Tl  0.0000  0.4094  0.2500 (multiplicity 4)  4 Pd 2.89, 1 Na 3.13
Tl  0.1627  0.2413  0.7500 (multiplicity 8)  4 Pd 2.89-2.91
Pd  0.2329  0.5000  0.0000 (multiplicity 8)  6 Tl 2.89-2.91, 2 Pd 2.89, 2 Na 3.15

Its total magnetization is 0.00 μB/f.u. The value obtained for the formation enthalpy at 0 K is -1.07 eV per formula unit. The electronic total energy is -79.5 eV for the cell shown.

=====

Entry 10:
Material: Na3Tl2Pd
Method: DFT, PBE-GGA
State: optimized geometry

Unit cell a=6.1343 b=17.6991 c=5.8581 alpha=90.00 beta=90.00 gamma=90.00
With the nearest neighbours (Å) after each atom.
Space group Ibam (No. 72)
One atom of each set of equivalent atoms:
Na  0.0000  0.0000  0.2500 (multiplicity 4)  2 Na 2.93, 2 Pd 3.07
Na  0.1677  0.1892  0.0000 (multiplicity 8)  5 Tl 3.24-3.32, 2 Na 3.58
Tl  0.1601  0.3763  0.0000 (multiplicity 8)  2 Pd 2.81
Pd  0.0000  0.5000  0.2500 (multiplicity 4)  4 Tl 2.81, 2 Pd 2.93, 2 Na 3.07

Its total magnetization is 0.00 μB/f.u. The value obtained for the formation enthalpy at 0 K is -0.73 eV per formula unit. The electronic total energy is -58.4 eV for the cell shown.

=====

Entry 11:
Material: NaTl5Pd6
Method: DFT, PBE-GGA
State: optimized geometry

Unit cell a=4.7228 b=6.8713 c=7.4991 alpha=90.00 beta=107.85 gamma=90.00
With the nearest neighbours (Å) after each atom.
Space group P2/m (No. 10)
One atom of each set of equivalent atoms:
Na  0.0000  0.0000  0.0000 (multiplicity 1)  8 Pd 2.99-3.00, 4 Tl 3.23-3.25
Tl  0.0000  0.5000  0.0000 (multiplicity 1)  8 Pd 2.85-3.05
Tl  0.3340  0.5000  0.6662 (multiplicity 2)  8 Pd 2.87-2.95
Tl  0.3450  0.0000  0.6895 (multiplicity 2)  8 Pd 2.88-2.95
Pd  0.1735  0.2428  0.3487 (multiplicity 4)  7 Tl 2.87-3.05, 1 Na 3.00, 1 Pd 3.18
Pd  0.5000  0.2666  0.0000 (multiplicity 2)  6 Tl 2.85-2.88, 2 Na 2.99

Its total magnetization is 0.00 μB/f.u. The value obtained for the formation enthalpy at 0 K is -1.65 eV per formula unit. The electronic total energy is -46.0 eV for the cell shown.

=====

Entry 12:
Material: NaTl8Pd2
Method: DFT, PBE-GGA
State: optimized geometry

Unit cell a=14.2314 b=7.5996 c=5.7671 alpha=90.00 beta=99.87 gamma=90.00
With the nearest neighbours (Å) after each atom.
Space group C2/m (No. 12)
One atom of each set of equivalent atoms:
Na  0.0000  0.0000  0.0000 (multiplicity 2)  6 Tl 3.19-3.25
Tl  0.0807  0.5000  0.8404 (multiplicity 4)  1 Pd 2.87, 1 Tl 3.18
Tl  0.1112  0.2661  0.3787 (multiplicity 8)  2 Pd 2.81-2.95
Tl  0.2080  0.0000  0.8407 (multiplicity 4)  2 Pd 2.88-2.98
Pd  0.2457  0.0000  0.3482 (multiplicity 4)  7 Tl 2.81-2.98

Its total magnetization is 0.00 μB/f.u. The value obtained for the formation enthalpy at 0 K is -0.40 eV per formula unit. The electronic total energy is -62.1 eV for the cell shown.